A plane-wave DFT calculation with PBE was carried out for a geometry-optimized AcMg3As3 structure.

E   -4.13 eV/atom
Symmetry   R-3

Unit cell a=7.7283 b=7.7283 c=8.6529 alpha=63.48 beta=63.48 gamma=60.00
Last column: nearest neighbours and their distance in Å.
Fractional positions:
As 0.5646 0.9161 0.2621  4 Mg 2.67-2.74
As 0.2571 0.5646 0.2621  4 Mg 2.67-2.74
As 0.7429 0.4354 0.7379  4 Mg 2.67-2.74
As 0.4354 0.0839 0.7379  4 Mg 2.67-2.74
As 0.9161 0.2571 0.2621  4 Mg 2.67-2.74
As 0.0839 0.7429 0.7379  4 Mg 2.67-2.74
Ac 0.6665 0.6665 0.0005  6 As 3.17-3.20
Ac 0.3335 0.3335 0.9995  6 As 3.17-3.20
Mg 0.4371 0.8022 0.6319  4 As 2.67-2.74
Mg 0.8022 0.1288 0.6319  4 As 2.67-2.74
Mg 0.1288 0.4371 0.6319  4 As 2.67-2.74
Mg 0.1978 0.8712 0.3681  4 As 2.67-2.74
Mg 0.5629 0.1978 0.3681  4 As 2.67-2.74
Mg 0.8712 0.5629 0.3681  4 As 2.67-2.74